[1]
This record from Alexandria describes a PBEsol-optimized structure of RbBeAu3. The functional is SCAN.

Cell lengths 5.609, 5.609, 5.609 Å; angles 90.00, 90.00, 90.00 degrees
Atoms (fractional coordinates):
1 Rb 0.000 0.000 0.000
2 Be 0.500 0.500 0.500
3 Au 0.000 0.000 0.500
4 Au 0.000 0.500 0.000
5 Au 0.500 0.000 0.000

* crystal system: cubic
* space-group type: Pm-3m
* electronic total energy: -223.2 eV for the cell shown
* energy of formation: 1.88 eV per atom
* size of the total moment: 0.0 μB per formula unit



[2]
This record from Alexandria describes a PBEsol-optimized structure of RbBeAu2. The functional is SCAN.

Cell lengths 5.364, 5.364, 14.904 Å; angles 90.00, 90.00, 90.00 degrees
Atoms (fractional coordinates):
1 Rb 0.000 0.250 0.375
2 Rb 0.000 0.750 0.625
3 Rb 0.500 0.250 0.125
4 Rb 0.500 0.750 0.875
5 Be 0.000 0.250 0.875
6 Be 0.000 0.750 0.125
7 Be 0.500 0.250 0.625
8 Be 0.500 0.750 0.375
9 Au 0.000 0.000 0.000
10 Au 0.000 0.500 0.000
11 Au 0.250 0.250 0.750
12 Au 0.250 0.750 0.250
13 Au 0.500 0.000 0.500
14 Au 0.500 0.500 0.500
15 Au 0.750 0.250 0.750
16 Au 0.750 0.750 0.250

* crystal system: tetragonal
* space-group type: I4_1/amd
* electronic total energy: -657.3 eV for the cell shown
* energy of formation: -0.23 eV per atom
* size of the total moment: 0.0 μB per formula unit



[3]
This record from Alexandria describes a PBEsol-optimized structure of Rb2TaBeAu. The functional is SCAN.

Cell lengths 6.655, 6.655, 4.976 Å; angles 90.00, 90.00, 90.00 degrees
Atoms (fractional coordinates):
1 Rb 0.000 0.500 0.000
2 Rb 0.500 0.000 0.000
3 Ta 0.000 0.000 0.000
4 Be 0.500 0.500 0.500
5 Au 0.000 0.000 0.500

* crystal system: tetragonal
* space-group type: P4/mmm
* electronic total energy: -173.9 eV for the cell shown
* energy of formation: 1.53 eV per atom
* size of the total moment: 3.4 μB per formula unit



[4]
This record from Alexandria describes a PBEsol-optimized structure of BeReAu3. The functional is SCAN.

Cell lengths 4.268, 4.268, 4.268 Å; angles 90.00, 90.00, 90.00 degrees
Atoms (fractional coordinates):
1 Be 0.000 0.000 0.000
2 Re 0.500 0.500 0.500
3 Au 0.000 0.000 0.500
4 Au 0.000 0.500 0.000
5 Au 0.500 0.000 0.000

* crystal system: cubic
* space-group type: Pm-3m
* electronic total energy: -278.8 eV for the cell shown
* energy of formation: 0.83 eV per atom
* size of the total moment: 1.0 μB per formula unit



[5]
This record from Alexandria describes a PBEsol-optimized structure of Be2Rh2Au. The functional is SCAN.

Cell lengths 6.315, 6.315, 2.937 Å; angles 90.00, 90.00, 90.00 degrees
Atoms (fractional coordinates):
1 Be 0.129 0.371 0.000
2 Be 0.371 0.871 0.000
3 Be 0.629 0.129 0.000
4 Be 0.871 0.629 0.000
5 Rh 0.161 0.661 0.500
6 Rh 0.339 0.161 0.500
7 Rh 0.661 0.839 0.500
8 Rh 0.839 0.339 0.500
9 Au 0.000 0.000 0.000
10 Au 0.500 0.500 0.000

* crystal system: tetragonal
* space-group type: P4/mbm
* electronic total energy: -295.9 eV for the cell shown
* energy of formation: -0.51 eV per atom
* size of the total moment: 0.0 μB per formula unit



[6]
This record from Alexandria describes a PBEsol-optimized structure of BeRh2Au. The functional is SCAN.

Cell lengths 3.781, 3.781, 7.465 Å; angles 90.00, 90.00, 90.00 degrees
Atoms (fractional coordinates):
1 Be 0.000 0.000 0.000
2 Be 0.500 0.500 0.500
3 Rh 0.000 0.000 0.500
4 Rh 0.000 0.500 0.250
5 Rh 0.500 0.000 0.750
6 Rh 0.500 0.500 0.000
7 Au 0.000 0.500 0.750
8 Au 0.500 0.000 0.250

* crystal system: tetragonal
* space-group type: I-4m2
* electronic total energy: -282.6 eV for the cell shown
* energy of formation: -0.06 eV per atom
* size of the total moment: 1.2 μB per formula unit



[7]
This record from Alexandria describes a PBEsol-optimized structure of BeRuAu2. The functional is SCAN.

Cell lengths 3.274, 2.904, 11.867 Å; angles 90.00, 90.00, 90.00 degrees
Atoms (fractional coordinates):
1 Be 0.000 0.000 0.000
2 Be 0.000 0.500 0.500
3 Ru 0.500 0.000 0.562
4 Ru 0.500 0.500 0.062
5 Au 0.000 0.000 0.209
6 Au 0.000 0.500 0.709
7 Au 0.500 0.000 0.860
8 Au 0.500 0.500 0.360

* crystal system: orthorhombic
* space-group type: Amm2
* electronic total energy: -354.9 eV for the cell shown
* energy of formation: 0.01 eV per atom
* size of the total moment: 0.0 μB per formula unit



[8]
This record from Alexandria describes a PBEsol-optimized structure of BeRuAu2. The functional is SCAN.

Cell lengths 2.833, 2.833, 6.893 Å; angles 90.00, 90.00, 90.00 degrees
Atoms (fractional coordinates):
1 Be 0.000 0.000 0.000
2 Ru 0.000 0.000 0.500
3 Au 0.500 0.500 0.213
4 Au 0.500 0.500 0.787

* crystal system: tetragonal
* space-group type: P4/mmm
* electronic total energy: -177.3 eV for the cell shown
* energy of formation: 0.05 eV per atom
* size of the total moment: 1.6 μB per formula unit



[9]
This record from Alexandria describes a PBEsol-optimized structure of BeRuAu2. The functional is SCAN.

Cell lengths 9.981, 2.772, 4.491 Å; angles 90.00, 116.56, 90.00 degrees
Atoms (fractional coordinates):
1 Be 0.000 0.000 0.000
2 Be 0.500 0.500 0.000
3 Ru 0.292 0.000 0.796
4 Ru 0.792 0.500 0.796
5 Au 0.006 0.500 0.509
6 Au 0.218 0.500 0.221
7 Au 0.506 0.000 0.509
8 Au 0.718 0.000 0.221

* crystal system: monoclinic
* space-group type: Cm
* electronic total energy: -354.2 eV for the cell shown
* energy of formation: 0.10 eV per atom
* size of the total moment: 0.8 μB per formula unit



[10]
This record from Alexandria describes a PBEsol-optimized structure of BeAuS2. The functional is SCAN.

Cell lengths 3.930, 3.930, 18.745 Å; angles 90.00, 90.00, 120.00 degrees
Atoms (fractional coordinates):
1 Be 0.000 0.000 0.000
2 Be 0.333 0.667 0.667
3 Be 0.667 0.333 0.333
4 Au 0.000 0.000 0.500
5 Au 0.333 0.667 0.167
6 Au 0.667 0.333 0.833
7 S 0.000 0.000 0.101
8 S 0.000 0.000 0.899
9 S 0.333 0.667 0.565
10 S 0.333 0.667 0.768
11 S 0.667 0.333 0.232
12 S 0.667 0.333 0.435

* crystal system: trigonal
* space-group type: R-3m
* ΔE_f (raw): -11 meV/atom
* electronic total energy: -278.4 eV for the cell shown
* size of the total moment: 0.0 μB per formula unit



[11]
This record from Alexandria describes a PBEsol-optimized structure of BeAu3S. The functional is SCAN.

Cell lengths 4.384, 4.384, 4.384 Å; angles 90.00, 90.00, 90.00 degrees
Atoms (fractional coordinates):
1 Be 0.000 0.000 0.000
2 Au 0.000 0.000 0.500
3 Au 0.000 0.500 0.000
4 Au 0.500 0.000 0.000
5 S 0.500 0.500 0.500

* crystal system: cubic
* space-group type: Pm-3m
* ΔE_f (raw): 491 meV/atom
* electronic total energy: -219.0 eV for the cell shown
* size of the total moment: 0.0 μB per formula unit



[12]
This record from Alexandria describes a PBEsol-optimized structure of BeSbAu2. The functional is SCAN.

Cell lengths 3.894, 3.894, 5.471 Å; angles 90.00, 90.00, 120.00 degrees
Atoms (fractional coordinates):
1 Be 0.000 0.000 0.000
2 Sb 0.000 0.000 0.500
3 Au 0.333 0.667 0.838
4 Au 0.667 0.333 0.162

* energy relative to the lowest polymorph listed for this composition: 0.000 eV/atom
* crystal system: trigonal
* space-group type: P-3m1
* ΔE_f (raw): -148 meV/atom
* electronic total energy: -180.5 eV for the cell shown
* size of the total moment: 0.0 μB per formula unit



[13]
This record from Alexandria describes a PBEsol-optimized structure of Be2SbAu. The functional is SCAN.

Cell lengths 3.411, 3.411, 18.933 Å; angles 90.00, 90.00, 120.00 degrees
Atoms (fractional coordinates):
1 Be 0.000 0.000 0.237
2 Be 0.000 0.000 0.763
3 Be 0.333 0.667 0.430
4 Be 0.333 0.667 0.904
5 Be 0.667 0.333 0.096
6 Be 0.667 0.333 0.570
7 Sb 0.000 0.000 0.000
8 Sb 0.333 0.667 0.667
9 Sb 0.667 0.333 0.333
10 Au 0.000 0.000 0.500
11 Au 0.333 0.667 0.167
12 Au 0.667 0.333 0.833

* crystal system: trigonal
* space-group type: R-3m
* ΔE_f (raw): 216 meV/atom
* electronic total energy: -342.8 eV for the cell shown
* size of the total moment: 0.0 μB per formula unit



[14]
This record from Alexandria describes a PBEsol-optimized structure of Be2SbAu. The functional is SCAN.

Cell lengths 7.645, 3.187, 5.288 Å; angles 90.00, 101.24, 90.00 degrees
Atoms (fractional coordinates):
1 Be 0.232 0.000 0.163
2 Be 0.268 0.500 0.837
3 Be 0.732 0.500 0.163
4 Be 0.768 0.000 0.837
5 Sb 0.000 0.000 0.500
6 Sb 0.500 0.500 0.500
7 Au 0.000 0.500 0.000
8 Au 0.500 0.000 0.000

* crystal system: monoclinic
* space-group type: C2/m
* ΔE_f (raw): 129 meV/atom
* electronic total energy: -229.2 eV for the cell shown
* size of the total moment: 0.0 μB per formula unit